# 1
Density functional theory data (GGA-PBE) for a relaxed structure of TlZnInHg.

```
TlZnInHg
1.0
5.2594 0.0000 0.0000
2.6297 4.5548 0.0000
2.6297 1.5183 4.2943
Zn Tl Hg In
1 1 1 1
Cartesian
0.0000 0.0000 0.0000 Zn
7.8891 4.5548 3.2207 Tl
5.2594 3.0365 2.1471 Hg
2.6297 1.5183 1.0736 In
```

Results
Calculated total energy in eV per atom: -1.5378
Energy relative to the elements in eV/atom: 0.132
Crystal system: cubic

=====

# 2
Density functional theory data (GGA-PBE) for a relaxed structure of Tm2InHg5.

```
Tm2InHg5
1.0
-3.0615 -1.3554 4.1870
2.4570 -4.7580 0.2563
4.9666 5.6951 2.0430
Tm In Hg
2 1 5
Cartesian
2.0387 -1.7326 4.3620 Tm
2.3234 1.3142 2.1243 Tm
0.0000 0.0000 0.0000 In
-0.3023 -3.0567 2.2217 Hg
1.9452 1.2884 5.2716 Hg
4.7045 -0.4129 3.3062 Hg
2.4169 -1.7068 1.2147 Hg
-0.3424 -0.0055 3.1801 Hg
```

Results
Calculated total energy in eV per atom: -1.8825
Energy relative to the elements in eV/atom: -0.234
Crystal system: tetragonal
ΔE to the lowest computed polymorph in meV per atom: 59

=====

# 3
Density functional theory data (GGA-PBE) for a relaxed structure of TmIn3Hg12.

```
TmIn3Hg12
1.0
4.7625 0.0000 0.0000
0.0000 4.2154 0.0000
0.0000 0.0000 20.6037
Tm In Hg
1 3 12
Cartesian
0.0000 0.0000 0.0000 Tm
0.0000 0.0000 4.9800 In
0.0000 0.0000 10.3019 In
0.0000 0.0000 15.6237 In
2.3813 2.1077 0.0000 Hg
2.3813 2.1077 5.0197 Hg
2.3813 2.1077 10.3019 Hg
2.3813 2.1077 15.5840 Hg
2.3813 0.0000 2.4103 Hg
2.3813 0.0000 7.6518 Hg
2.3813 0.0000 12.9519 Hg
2.3813 0.0000 18.1934 Hg
0.0000 2.1077 2.4291 Hg
0.0000 2.1077 7.6097 Hg
0.0000 2.1077 12.9940 Hg
0.0000 2.1077 18.1746 Hg
```

Results
Calculated total energy in eV per atom: -1.0860
Energy relative to the elements in eV/atom: -0.067
Crystal system: orthorhombic

=====

# 4
Density functional theory data (GGA-PBE) for a relaxed structure of Tm2InHg8.

```
Tm2InHg8
1.0
-3.3265 3.2337 -0.0803
-1.6885 -1.6377 3.9995
7.5534 7.9301 6.4359
Tm In Hg
2 1 8
Cartesian
2.4160 2.5365 2.0586 Tm
5.1374 5.3936 4.3774 Tm
0.0000 0.0000 0.0000 In
2.9324 3.1462 5.2177 Hg
2.1134 5.5819 3.1778 Hg
-0.0589 3.3687 4.0460 Hg
2.5972 6.1574 6.3092 Hg
0.2789 0.3603 2.9567 Hg
-0.5402 2.7960 0.9168 Hg
5.5860 5.9321 7.4787 Hg
4.7670 8.3678 5.4388 Hg
```

Results
Calculated total energy in eV per atom: -1.4822
Energy relative to the elements in eV/atom: -0.201
Crystal system: tetragonal

=====

# 5
Density functional theory data (GGA-PBE) for a relaxed structure of TmInHg2.

```
TmInHg2
1.0
-2.4717 -2.7192 0.9396
-1.2249 -2.4412 -2.6317
5.2407 -6.9643 1.2877
Tm In Hg
1 1 2
Cartesian
-2.4596 -3.4442 -1.1267 Tm
0.7744 -6.0642 -0.2016 In
3.6193 -5.6506 0.8238 Hg
0.3820 -3.0279 -0.1023 Hg
```

Results
Calculated total energy in eV per atom: -2.1458
Energy relative to the elements in eV/atom: -0.192
Crystal system: trigonal

=====

# 6
Density functional theory data (GGA-PBE) for a relaxed structure of Tm5InHg3.

```
Tm5InHg3
1.0
-3.5708 4.2547 3.5471
-6.8951 -5.8088 0.0262
6.1696 -0.2971 6.5672
Tm In Hg
10 2 6
Cartesian
-2.5402 -3.9715 2.2066 Tm
0.0293 -0.0070 6.1604 Tm
1.8147 -2.1343 4.3869 Tm
-4.3256 -1.8442 3.9801 Tm
-3.1870 -1.0921 7.2856 Tm
-7.7315 -2.7064 4.6469 Tm
-4.7364 1.4571 2.6682 Tm
-1.1094 -0.7591 2.8550 Tm
3.4351 0.8552 5.4936 Tm
-5.7296 -3.0112 0.9052 Tm
0.0000 0.0000 0.0000 In
-1.7854 2.1273 1.7736 In
-2.9476 0.9229 5.1096 Hg
1.1997 3.0043 6.7881 Hg
-7.0117 -0.4598 2.6768 Hg
-1.3487 -2.7741 5.0310 Hg
1.3991 0.9533 3.3263 Hg
-3.4543 -1.0943 0.8965 Hg
```

Results
Calculated total energy in eV per atom: -3.2803
Energy relative to the elements in eV/atom: -0.391
Crystal system: hexagonal

=====

# 7
Density functional theory data (GGA-PBE) for a relaxed structure of TmInHg2.

```
TmInHg2
1.0
3.6929 0.0000 0.0000
0.0000 3.6929 0.0000
0.0000 0.0000 7.2369
Tm Hg In
1 2 1
Cartesian
1.8464 1.8464 0.0000 Tm
0.0000 0.0000 5.4587 Hg
0.0000 0.0000 1.7782 Hg
1.8464 1.8464 3.6184 In
```

Results
Calculated total energy in eV per atom: -2.2059
Energy relative to the elements in eV/atom: -0.252
Crystal system: tetragonal

=====

# 8
Density functional theory data (GGA-PBE) for a relaxed structure of TmIn6Hg12.

```
TmIn6Hg12
1.0
-6.5293 3.2966 3.1497
-3.6292 -7.0092 -1.0583
2.7910 -2.1329 7.1471
Tm In Hg
1 6 12
Cartesian
0.0000 0.0000 0.0000 Tm
-7.1520 -4.2300 3.4094 In
-5.2759 0.2246 2.9580 In
-2.7600 -5.1560 1.5598 In
-0.2156 -1.6155 5.8291 In
-2.0917 -6.0702 6.2806 In
-4.6076 -0.6896 7.6787 In
-5.9166 -1.9501 5.1732 Hg
-4.3803 -5.2973 4.2805 Hg
-2.7742 -3.1234 6.9368 Hg
-1.4510 -3.8955 4.0653 Hg
-2.9873 -0.5482 4.9581 Hg
-4.5933 -2.7221 2.3017 Hg
0.1865 -1.6865 2.6428 Hg
-5.1736 -3.6367 8.8245 Hg
-5.1910 -6.4212 7.0489 Hg
-7.5540 -4.1591 6.5957 Hg
-2.1939 -2.2088 0.4140 Hg
-2.1766 0.5757 2.1897 Hg
```

Results
Calculated total energy in eV per atom: -1.3197
Energy relative to the elements in eV/atom: -0.029
Crystal system: trigonal

=====

Q: What is the calculated total energy in the fifth record?
A: -2.1458 eV per atom

=====

Q: Number 2 is which compound?
A: Tm2InHg5

=====

Q: Look up the calculated total energy of the seventh one.
A: -2.2059 eV per atom

=====

What did the third record say?
Density functional theory data (GGA-PBE) for a relaxed structure of TmIn3Hg12.

```
TmIn3Hg12
1.0
4.7625 0.0000 0.0000
0.0000 4.2154 0.0000
0.0000 0.0000 20.6037
Tm In Hg
1 3 12
Cartesian
0.0000 0.0000 0.0000 Tm
0.0000 0.0000 4.9800 In
0.0000 0.0000 10.3019 In
0.0000 0.0000 15.6237 In
2.3813 2.1077 0.0000 Hg
2.3813 2.1077 5.0197 Hg
2.3813 2.1077 10.3019 Hg
2.3813 2.1077 15.5840 Hg
2.3813 0.0000 2.4103 Hg
2.3813 0.0000 7.6518 Hg
2.3813 0.0000 12.9519 Hg
2.3813 0.0000 18.1934 Hg
0.0000 2.1077 2.4291 Hg
0.0000 2.1077 7.6097 Hg
0.0000 2.1077 12.9940 Hg
0.0000 2.1077 18.1746 Hg
```

Results
Calculated total energy in eV per atom: -1.0860
Energy relative to the elements in eV/atom: -0.067
Crystal system: orthorhombic